A geometry-optimized Mn2TcTe structure, computed with GGA-PBE.

Output
- DOS(E_F): 4.71 states/eV/cell
- DFT total energy: -7.392 eV per atom
- Space group: R3m (160)
- Spin magnetization: 4.70 μB/f.u.

Geometry as extended XYZ:
```
4
Lattice="-2.257 5.648 -5.906 -4.932 5.149 -4.586 -3.011 7.160 -3.397" Properties=species:S:1:pos:R:3 pbc="T T T"
Tc -5.200 9.155 -7.081
Te -7.648 13.465 -10.414
Mn -2.520 4.437 -3.431
Mn -10.132 17.837 -13.795
```